No. 1
The following is a PBE-GGA calculation of an optimized crystal structure of K3Np3UTe8, from the Alexandria database.

a = 8.9842 Å, b = 8.9834 Å, c = 9.8359 Å
α = 117.17°, β = 90.00°, γ = 120.00°
Site moments in Bohr magnetons follow the coordinates.
Positions (direct):
1 Te 0.2634 0.5268 0.2902  -0.08
2 Te 0.7366 0.4732 0.7098  -0.08
3 Te 0.7372 0.9718 0.7063  -0.09
4 Np 0.0000 0.5000 0.5000  3.95
5 Te 0.2345 0.4691 0.7063  -0.09
6 U 0.0000 0.0000 0.5000  2.41
7 Np 0.5000 0.0000 0.5000  3.95
8 Te 0.7655 0.0282 0.2937  -0.09
9 K 0.0000 0.0000 0.0000  0.00
10 Np 0.5000 0.5000 0.5000  3.95
11 K 0.0000 0.5000 0.0000  0.00
12 K 0.5000 0.5000 0.0000  0.00
13 Te 0.7655 0.5309 0.2937  -0.09
14 Te 0.2345 0.9718 0.7063  -0.09
15 Te 0.2628 0.0282 0.2937  -0.09

Total magnetic moment ... 14.00 Bohr magnetons per cell
Density of states at the Fermi level ... 2.24 states/eV per atom
Formation energy (no corrections) ... -845 meV per atom
VASP energy ... -6.081 eV/atom

=====

No. 2
The following is a PBE-GGA calculation of an optimized crystal structure of Er7Bi2Rh2, from the Alexandria database.

a = 3.7551 Å, b = 9.6649 Å, c = 9.6649 Å
α = 60.77°, β = 78.80°, γ = 78.80°
Positions (direct):
1 Rh 0.7388 0.8526 0.6698
2 Bi 0.0000 0.7647 0.2353
3 Rh 0.2612 0.3302 0.1474
4 Er 0.8463 0.4087 0.8988
5 Er 0.5000 0.0359 0.9641
6 Er 0.3669 0.7326 0.5336
7 Er 0.6331 0.4664 0.2674
8 Er 0.1537 0.1012 0.5913
9 Er 0.8183 0.0818 0.2817
10 Er 0.1817 0.7183 0.9182
11 Bi 0.5000 0.3614 0.6386

Total magnetic moment ... 0.00 Bohr magnetons per cell
ΔE to the lowest computed polymorph ... 0 meV/atom
Density of states at the Fermi level ... 0.91 states/eV per atom
VASP energy ... -5.598 eV/atom
Energy relative to the elements ... -7.17 eV per formula unit

=====

No. 3
The following is a PBE-GGA calculation of an optimized crystal structure of Ce3Be2GePt9, from the Alexandria database.

a = 5.7706 Å, b = 5.7706 Å, c = 9.6237 Å
α = 90.00°, β = 90.00°, γ = 120.00°
Site moments in Bohr magnetons follow the coordinates.
Positions (direct):
1 Pt 0.8342 0.6685 0.6986  0.00
2 Pt 0.6685 0.8342 0.3014  0.00
3 Be 0.6667 0.3333 0.8483  0.00
4 Pt 0.5000 0.0000 0.0000  -0.01
5 Ce 0.0000 0.0000 0.0000  0.46
6 Pt 0.0000 0.5000 0.0000  -0.01
7 Ce 0.3333 0.6667 0.6166  0.65
8 Pt 0.1658 0.8342 0.3014  0.00
9 Pt 0.1658 0.3315 0.3014  0.00
10 Ce 0.6667 0.3333 0.3834  0.65
11 Pt 0.8342 0.1658 0.6986  0.00
12 Pt 0.5000 0.5000 0.0000  -0.01
13 Be 0.3333 0.6667 0.1517  0.00
14 Ge 0.0000 0.0000 0.5000  0.00
15 Pt 0.3315 0.1658 0.6986  0.00

Total magnetic moment ... 1.87 Bohr magnetons per cell
Density of states at the Fermi level ... 1.29 states/eV per atom
VASP energy ... -6.393 eV/atom
Energy relative to the elements ... -11.65 eV per formula unit

=====

No. 4
The following is a PBE-GGA calculation of an optimized crystal structure of PuSb2O8, from the Alexandria database.

a = 6.2846 Å, b = 5.3229 Å, c = 5.3229 Å
α = 118.65°, β = 95.90°, γ = 95.90°
Site moments in Bohr magnetons follow the coordinates.
Positions (direct):
1 Pu 0.5000 0.0000 0.0000  2.35
2 O 0.1657 0.0502 0.3930  -0.02
3 O 0.8343 0.6070 0.9498  -0.02
4 O 0.5000 0.1905 0.8095  -0.11
5 Sb 0.0000 0.6730 0.3270  0.00
6 O 0.1966 0.6604 0.6604  -0.03
7 Sb 0.0000 0.3270 0.6730  0.00
8 O 0.1657 0.3930 0.0502  -0.02
9 O 0.8343 0.9498 0.6070  -0.02
10 O 0.5000 0.8095 0.1905  -0.11
11 O 0.8034 0.3396 0.3396  -0.03

Total magnetic moment ... 2.00 Bohr magnetons per cell
Density of states at the Fermi level ... 0.65 states/eV per atom
Formation energy (no corrections) ... -1581 meV per atom
VASP energy ... -7.239 eV/atom

=====

No. 5
The following is a PBE-GGA calculation of an optimized crystal structure of GaCu2Sb2, from the Alexandria database.

a = 7.0195 Å, b = 7.0195 Å, c = 3.9087 Å
α = 90.00°, β = 90.00°, γ = 90.00°
Positions (direct):
1 Cu 0.1258 0.3742 0.0000
2 Sb 0.3257 0.1743 0.5000
3 Ga 0.5000 0.5000 0.0000
4 Cu 0.3742 0.8742 0.0000
5 Cu 0.8742 0.6258 0.0000
6 Cu 0.6258 0.1258 0.0000
7 Ga 0.0000 0.0000 0.0000
8 Sb 0.1743 0.6743 0.5000
9 Sb 0.8257 0.3257 0.5000
10 Sb 0.6743 0.8257 0.5000

Total magnetic moment ... 0.00 Bohr magnetons per cell
ΔE to the lowest computed polymorph ... 7 meV/atom
Density of states at the Fermi level ... 0.43 states/eV per atom
Formation energy (no corrections) ... 164 meV per atom
VASP energy ... -3.729 eV/atom

=====

No. 6
The following is a PBE-GGA calculation of an optimized crystal structure of Os3Rh, from the Alexandria database.

a = 2.7460 Å, b = 4.3551 Å, c = 4.7649 Å
α = 90.00°, β = 90.00°, γ = 90.00°
Positions (direct):
1 Os 0.5000 0.0000 0.4999
2 Os 0.0000 0.0000 0.0020
3 Os 0.5000 0.5000 0.8313
4 Rh 0.0000 0.5000 0.3334

Total magnetic moment ... 0.00 Bohr magnetons per cell
Density of states at the Fermi level ... 0.75 states/eV per atom
VASP energy ... -10.222 eV/atom
Energy relative to the elements ... 0.15 eV per formula unit

=====

No. 7
The following is a PBE-GGA calculation of an optimized crystal structure of LiS2Br, from the Alexandria database.

a = 4.8058 Å, b = 4.8058 Å, c = 4.8058 Å
α = 60.00°, β = 60.00°, γ = 60.00°
Site moments in Bohr magnetons follow the coordinates.
Positions (direct):
1 S 0.2500 0.2500 0.2500  0.21
2 Li 0.0000 0.0000 0.0000  0.01
3 Br 0.5000 0.5000 0.5000  0.18
4 S 0.7500 0.7500 0.7500  0.21

Total magnetic moment ... 0.90 Bohr magnetons per cell
ΔE to the lowest computed polymorph ... 507 meV/atom
Density of states at the Fermi level ... 1.26 states/eV per atom
Formation energy (no corrections) ... 517 meV per atom
VASP energy ... -2.444 eV/atom

=====

No. 8
The following is a PBE-GGA calculation of an optimized crystal structure of Sn2Te3Pb, from the Alexandria database.

a = 4.5606 Å, b = 6.4550 Å, c = 7.9101 Å
α = 114.08°, β = 106.76°, γ = 90.00°
Positions (direct):
1 Te 0.8286 0.3286 0.1572
2 Te 0.5000 0.0000 0.5000
3 Te 0.1714 0.6714 0.8428
4 Sn 0.1655 0.1655 0.8311
5 Pb 0.5000 0.5000 0.5000
6 Sn 0.8345 0.8345 0.1689

Total magnetic moment ... 0.00 Bohr magnetons per cell
Formation energy (no corrections) ... -324 meV per atom
VASP energy ... -3.847 eV/atom

=====

No. 9
The following is a PBE-GGA calculation of an optimized crystal structure of CdSn2Ir, from the Alexandria database.

a = 4.3790 Å, b = 4.3790 Å, c = 5.6181 Å
α = 90.00°, β = 90.00°, γ = 120.00°
Positions (direct):
1 Sn 0.6667 0.3333 0.8126
2 Sn 0.3333 0.6667 0.1874
3 Cd 0.0000 0.0000 0.5000
4 Ir 0.0000 0.0000 0.0000

Total magnetic moment ... 0.00 Bohr magnetons per cell
Density of states at the Fermi level ... 0.55 states/eV per atom
VASP energy ... -4.575 eV/atom
Energy relative to the elements ... -0.52 eV per formula unit

=====

No. 10
The following is a PBE-GGA calculation of an optimized crystal structure of Cu2PRu, from the Alexandria database.

a = 3.0254 Å, b = 3.0254 Å, c = 5.5206 Å
α = 90.00°, β = 90.00°, γ = 90.00°
Positions (direct):
1 Cu 0.5000 0.5000 0.2403
2 Ru 0.5000 0.5000 0.7210
3 Cu 0.0000 0.0000 0.0231
4 P 0.0000 0.0000 0.5156

Total magnetic moment ... 0.00 Bohr magnetons per cell
Density of states at the Fermi level ... 0.45 states/eV per atom
VASP energy ... -5.821 eV/atom
Energy relative to the elements ... -0.40 eV per formula unit

=====

No. 11
The following is a PBE-GGA calculation of an optimized crystal structure of AcLaCePr, from the Alexandria database.

a = 5.9872 Å, b = 5.9872 Å, c = 5.9872 Å
α = 60.00°, β = 60.00°, γ = 60.00°
Site moments in Bohr magnetons follow the coordinates.
Positions (direct):
1 La 0.2500 0.2500 0.2500  0.24
2 Pr 0.7500 0.7500 0.7500  0.24
3 Ac 0.5000 0.5000 0.5000  0.15
4 Ce 0.0000 0.0000 0.0000  1.18

Total magnetic moment ... 3.06 Bohr magnetons per cell
Density of states at the Fermi level ... 3.01 states/eV per atom
VASP energy ... -4.714 eV/atom
Energy relative to the elements ... 0.89 eV per formula unit